Here is a geometry-optimized NbFeGeO6 structure from Alexandria via LeMat-Bulk. Energies are from PBE+U.

```
data_NbFeGeO6
_symmetry_space_group_name_H-M 'P 1'
_symmetry_Int_Tables_number 1
_symmetry_space_group_name_Hall 'P 1'
_cell_length_a 5.061
_cell_length_b 5.061
_cell_length_c 8.881
_cell_angle_alpha 90.00
_cell_angle_beta 90.00
_cell_angle_gamma 120.00
loop_
_atom_site_label
_atom_site_fract_x
_atom_site_fract_y
_atom_site_fract_z
Nb1 0.333 0.667 0.250
Nb2 0.667 0.333 0.750
Fe1 0.000 0.000 0.000
Fe2 0.000 0.000 0.500
Ge1 0.333 0.667 0.750
Ge2 0.667 0.333 0.250
O1 0.014 0.350 0.631
O2 0.014 0.664 0.869
O3 0.336 0.350 0.869
O4 0.336 0.986 0.631
O5 0.350 0.014 0.131
O6 0.350 0.336 0.369
O7 0.650 0.664 0.631
O8 0.650 0.986 0.869
O9 0.664 0.014 0.369
O10 0.664 0.650 0.131
O11 0.986 0.336 0.131
O12 0.986 0.650 0.369
```

- total magnetic moment (μB per cell) = 10.1
- volume (Å³ per cell) = 197.0
- final energy (eV/cell) = -132.969